*one*
First-principles (PBE) data for a relaxed NdSmTmHg crystal, as listed in the Alexandria database.

Cell: 7.7591 7.7591 7.7591 Å, 90.00 90.00 90.00°
Positions (direct):
Nd1 0.0000 0.0000 0.0000
Nd2 0.0000 0.5000 0.5000
Nd3 0.5000 0.0000 0.5000
Nd4 0.5000 0.5000 0.0000
Sm1 0.0000 0.0000 0.5000
Sm2 0.0000 0.5000 0.0000
Sm3 0.5000 0.0000 0.0000
Sm4 0.5000 0.5000 0.5000
Tm1 0.2500 0.2500 0.7500
Tm2 0.2500 0.7500 0.2500
Tm3 0.7500 0.2500 0.2500
Tm4 0.7500 0.7500 0.7500
Hg1 0.2500 0.2500 0.2500
Hg2 0.2500 0.7500 0.7500
Hg3 0.7500 0.2500 0.7500
Hg4 0.7500 0.7500 0.2500

* size of the total moment: 0.0 μB/cell

***

*two*
First-principles (PBE) data for a relaxed NdSmTmHg crystal, as listed in the Alexandria database.

Cell: 3.6650 3.6650 8.8962 Å, 90.00 90.00 90.00°
Positions (direct):
Nd1 0.0000 0.0000 0.0000
Sm1 0.5000 0.5000 0.7124
Tm1 0.5000 0.5000 0.2787
Hg1 0.0000 0.0000 0.4789

* size of the total moment: 0.0 μB/cell

***

The winner here is *two*, beating the second structure by 151 meV per atom.

***

*one*
First-principles (PBE) data for a relaxed Nd2Sn4Hg crystal, as listed in the Alexandria database.

Cell: 6.6189 6.6141 6.5483 Å, 60.38 60.30 59.32°
Positions (direct):
Nd1 0.0000 0.0000 0.5000
Nd2 0.5000 0.5000 0.0000
Sn1 0.0000 0.5000 0.0000
Sn2 0.0000 0.5000 0.5000
Sn3 0.5000 0.0000 0.0000
Sn4 0.5000 0.0000 0.5000
Hg1 0.0000 0.0000 0.0000

* size of the total moment: 0.0 μB/cell

***

*two*
First-principles (PBE) data for a relaxed Nd2Sn4Hg crystal, as listed in the Alexandria database.

Cell: 4.5701 4.5701 9.6012 Å, 90.00 90.00 90.00°
Positions (direct):
Nd1 0.0000 0.5000 0.2339
Nd2 0.5000 0.0000 0.7661
Sn1 0.0000 0.0000 0.5000
Sn2 0.0000 0.5000 0.8016
Sn3 0.5000 0.0000 0.1984
Sn4 0.5000 0.5000 0.5000
Hg1 0.5000 0.5000 0.0000

* size of the total moment: 0.0 μB/cell

***

The winner here is *one*, beating the second structure by 26 meV per atom.

***

*one*
First-principles (PBE) data for a relaxed Nd3Sn3Hg crystal, as listed in the Alexandria database.

Cell: 6.3615 6.3615 15.3853 Å, 106.60 106.60 42.95°
Positions (direct):
Nd1 0.0154 0.0154 0.3755
Nd2 0.1059 0.1059 0.9239
Nd3 0.2290 0.2290 0.2268
Nd4 0.7710 0.7710 0.7732
Nd5 0.8941 0.8941 0.0761
Nd6 0.9846 0.9846 0.6245
Sn1 0.3655 0.3655 0.4571
Sn2 0.3810 0.3810 0.9248
Sn3 0.4987 0.4987 0.2225
Sn4 0.5013 0.5013 0.7775
Sn5 0.6190 0.6190 0.0752
Sn6 0.6345 0.6345 0.5429
Hg1 0.2758 0.2758 0.6223
Hg2 0.7242 0.7242 0.3777

* size of the total moment: 0.0 μB/cell

***

*two*
First-principles (PBE) data for a relaxed Nd3Sn3Hg crystal, as listed in the Alexandria database.

Cell: 9.3874 9.3874 6.3429 Å, 90.00 90.00 120.00°
Positions (direct):
Nd1 0.0506 0.6789 0.2500
Nd2 0.3211 0.3716 0.2500
Nd3 0.3716 0.0506 0.7500
Nd4 0.6284 0.9494 0.2500
Nd5 0.6789 0.6284 0.7500
Nd6 0.9494 0.3211 0.7500
Sn1 0.0444 0.7037 0.7500
Sn2 0.2963 0.3407 0.7500
Sn3 0.3407 0.0444 0.2500
Sn4 0.6593 0.9556 0.7500
Sn5 0.7037 0.6593 0.2500
Sn6 0.9556 0.2963 0.2500
Hg1 0.3333 0.6667 0.7500
Hg2 0.6667 0.3333 0.2500

* size of the total moment: 0.0 μB/cell

***

The winner here is *one*, beating the second structure by 254 meV per atom.

***

*one*
First-principles (PBE) data for a relaxed NdTlSnHg crystal, as listed in the Alexandria database.

Cell: 4.6584 4.7134 4.8893 Å, 90.00 90.00 90.00°
Positions (direct):
Nd1 0.0000 0.0000 0.0000
Tl1 0.5000 0.0000 0.5000
Sn1 0.5000 0.5000 0.0000
Hg1 0.0000 0.5000 0.5000

* size of the total moment: 0.0 μB/cell

***

*two*
First-principles (PBE) data for a relaxed NdTlSnHg crystal, as listed in the Alexandria database.

Cell: 7.7011 7.7011 7.7011 Å, 90.00 90.00 90.00°
Positions (direct):
Nd1 0.0000 0.0000 0.0000
Nd2 0.0000 0.5000 0.5000
Nd3 0.5000 0.0000 0.5000
Nd4 0.5000 0.5000 0.0000
Tl1 0.0000 0.0000 0.5000
Tl2 0.0000 0.5000 0.0000
Tl3 0.5000 0.0000 0.0000
Tl4 0.5000 0.5000 0.5000
Sn1 0.2500 0.2500 0.2500
Sn2 0.2500 0.7500 0.7500
Sn3 0.7500 0.2500 0.7500
Sn4 0.7500 0.7500 0.2500
Hg1 0.2500 0.2500 0.7500
Hg2 0.2500 0.7500 0.2500
Hg3 0.7500 0.2500 0.2500
Hg4 0.7500 0.7500 0.7500

* size of the total moment: 0.0 μB/cell

***

The winner here is *one*, beating the second structure by 175 meV per atom.

***

*one*
First-principles (PBE) data for a relaxed NdYSnHg crystal, as listed in the Alexandria database.

Cell: 7.5997 7.5997 7.5997 Å, 90.00 90.00 90.00°
Positions (direct):
Nd1 0.0000 0.0000 0.0000
Nd2 0.0000 0.5000 0.5000
Nd3 0.5000 0.0000 0.5000
Nd4 0.5000 0.5000 0.0000
Y1 0.0000 0.0000 0.5000
Y2 0.0000 0.5000 0.0000
Y3 0.5000 0.0000 0.0000
Y4 0.5000 0.5000 0.5000
Sn1 0.2500 0.2500 0.2500
Sn2 0.2500 0.7500 0.7500
Sn3 0.7500 0.2500 0.7500
Sn4 0.7500 0.7500 0.2500
Hg1 0.2500 0.2500 0.7500
Hg2 0.2500 0.7500 0.2500
Hg3 0.7500 0.2500 0.2500
Hg4 0.7500 0.7500 0.7500

* size of the total moment: 0.0 μB/cell

***

*two*
First-principles (PBE) data for a relaxed NdYSnHg crystal, as listed in the Alexandria database.

Cell: 3.8322 3.8322 7.4905 Å, 90.00 90.00 90.00°
Positions (direct):
Nd1 0.0000 0.0000 0.0000
Y1 0.0000 0.0000 0.5073
Sn1 0.5000 0.5000 0.2640
Hg1 0.5000 0.5000 0.7377

* size of the total moment: 0.0 μB/cell

***

The winner here is *one*, beating the second structure by 12 meV per atom.

***

*one*
First-principles (PBE) data for a relaxed SrNdZnHg crystal, as listed in the Alexandria database.

Cell: 3.8541 3.8541 7.7282 Å, 90.00 90.00 90.00°
Positions (direct):
Sr1 0.0000 0.0000 0.0000
Nd1 0.0000 0.0000 0.4802
Zn1 0.5000 0.5000 0.2707
Hg1 0.5000 0.5000 0.7216

* size of the total moment: 0.1 μB/cell

***

*two*
First-principles (PBE) data for a relaxed SrNdZnHg crystal, as listed in the Alexandria database.

Cell: 7.6940 7.6940 7.6940 Å, 90.00 90.00 90.00°
Positions (direct):
Sr1 0.0000 0.0000 0.0000
Sr2 0.0000 0.5000 0.5000
Sr3 0.5000 0.0000 0.5000
Sr4 0.5000 0.5000 0.0000
Nd1 0.0000 0.0000 0.5000
Nd2 0.0000 0.5000 0.0000
Nd3 0.5000 0.0000 0.0000
Nd4 0.5000 0.5000 0.5000
Zn1 0.2500 0.2500 0.7500
Zn2 0.2500 0.7500 0.2500
Zn3 0.7500 0.2500 0.2500
Zn4 0.7500 0.7500 0.7500
Hg1 0.2500 0.2500 0.2500
Hg2 0.2500 0.7500 0.7500
Hg3 0.7500 0.2500 0.7500
Hg4 0.7500 0.7500 0.2500

* size of the total moment: 0.0 μB/cell

***

The winner here is *one*, beating the second structure by 25 meV per atom.

***

*one*
First-principles (PBE) data for a relaxed Tb3NdHg crystal, as listed in the Alexandria database.

Cell: 6.7870 6.7870 7.9738 Å, 107.18 107.18 66.46°
Positions (direct):
Tb1 0.0621 0.0621 0.2441
Tb2 0.0891 0.5901 0.3572
Tb3 0.4099 0.9109 0.6428
Tb4 0.5901 0.0891 0.3572
Tb5 0.9109 0.4099 0.6428
Tb6 0.9379 0.9379 0.7559
Nd1 0.4403 0.4403 0.7630
Nd2 0.5597 0.5597 0.2370
Hg1 0.2396 0.2396 0.0003
Hg2 0.7604 0.7604 0.9997

* size of the total moment: 0.0 μB/cell

***

*two*
First-principles (PBE) data for a relaxed Tb3NdHg crystal, as listed in the Alexandria database.

Cell: 15.0199 15.0199 5.5611 Å, 90.00 90.00 165.96°
Positions (direct):
Tb1 0.0482 0.9518 0.7500
Tb2 0.1260 0.8740 0.2500
Tb3 0.3420 0.6580 0.2500
Tb4 0.6580 0.3420 0.7500
Tb5 0.8740 0.1260 0.7500
Tb6 0.9518 0.0482 0.2500
Nd1 0.2668 0.7332 0.7500
Nd2 0.7332 0.2668 0.2500
Hg1 0.4592 0.5408 0.7500
Hg2 0.5408 0.4592 0.2500

* size of the total moment: 0.0 μB/cell

***

The winner here is *two*, beating the second structure by 67 meV per atom.

***

*one*
First-principles (PBE) data for a relaxed Tb2Nd6Hg crystal, as listed in the Alexandria database.

Cell: 9.7148 9.7148 9.7148 Å, 158.53 115.27 69.06°
Positions (direct):
Tb1 0.1496 0.1496 0.0000
Tb2 0.8504 0.8504 0.0000
Nd1 0.1606 0.8217 0.3389
Nd2 0.2097 0.5000 0.7097
Nd3 0.4828 0.8217 0.6611
Nd4 0.5172 0.1783 0.3389
Nd5 0.7903 0.5000 0.2903
Nd6 0.8394 0.1783 0.6611
Hg1 0.5000 0.0000 0.5000

* size of the total moment: 0.0 μB/cell

***

*two*
First-principles (PBE) data for a relaxed Tb2Nd6Hg crystal, as listed in the Alexandria database.

Cell: 9.6647 9.6647 3.7135 Å, 90.00 90.00 120.00°
Positions (direct):
Tb1 0.3333 0.6667 0.0000
Tb2 0.6667 0.3333 0.0000
Nd1 0.0000 0.2729 0.0000
Nd2 0.0000 0.6204 0.5000
Nd3 0.2729 0.0000 0.0000
Nd4 0.3796 0.3796 0.5000
Nd5 0.6204 0.0000 0.5000
Nd6 0.7271 0.7271 0.0000
Hg1 0.0000 0.0000 0.5000

* size of the total moment: 0.0 μB/cell

***

The winner here is *two*, beating the second structure by 96 meV per atom.